A relaxed CoOsBr2 crystal, computed with PBE.

The structure in CIF format:
```
data_CoOsBr2
_cell_length_a 8.643
_cell_length_b 8.643
_cell_length_c 4.132
_cell_angle_alpha 103.55
_cell_angle_beta 103.55
_cell_angle_gamma 19.15
_space_group_name_H-M_alt 'P 1'
_space_group_IT_number 1
loop_
_space_group_symop_operation_xyz
'x,y,z'
loop_
_atom_site_label
_atom_site_type_symbol
_atom_site_fract_x
_atom_site_fract_y
_atom_site_fract_z
Br1 Br 0.102 0.102 0.104
Br2 Br 0.398 0.398 0.396
Co1 Co 0.750 0.750 0.750
Os1 Os 0.250 0.250 0.250
```

## Properties
For the total energy, the calculation gives -4.88 eV per atom. As for the calculated density: 6.9 g/cm3. The total moment comes out at 0.72 μB/atom. The density of states at the Fermi level is 0.58 states/eV per atom.